A plane-wave DFT calculation with PBE was carried out for a relaxed BaCu3 crystal.

## Properties
M_tot in μB/cell: 0.00
Calculated total energy in eV per atom: -3.018
DFT formation energy in kcal/mol of atoms: 12.339
Space-group type: Pm-3m (221)

Cell: 4.466 4.466 4.466 Å, 90.00 90.00 90.00°
Positions (direct):
Cu1 0.000 0.500 0.500
Cu2 0.500 0.500 0.000
Cu3 0.500 0.000 0.500
Ba1 0.000 0.000 0.000